[1]
Material: Cs2TmCl5
Method: DFT, PBE
State: optimized geometry

DFT total energy in eV/atom: -4.07
N(E_F) in states/eV/atom: 0.0000
SG: No. 107

a = 8.102 Å, b = 8.102 Å, c = 7.569 Å
α = 122.36°, β = 122.36°, γ = 90.00°
Element x y z (fractional)
Cs (0.251, 0.751, 0.502)
Cs (0.751, 0.251, 0.502)
Tm (0.967, 0.967, 0.934)
Cl (0.802, 0.241, 0.044)
Cl (0.241, 0.241, 0.044)
Cl (0.802, 0.802, 0.043)
Cl (0.241, 0.802, 0.043)
Cl (0.721, 0.721, 0.442)

[2]
Material: Sm8ErGa6
Method: DFT, PBE
State: optimized geometry

N(E_F) in states/eV/atom: 1.2566
SG: No. 148
ΔE_f in eV/atom: -0.36

a = 8.762 Å, b = 8.762 Å, c = 8.051 Å
α = 57.04°, β = 57.04°, γ = 60.00°
Element x y z (fractional)
Sm (0.555, 0.220, 0.338)
Sm (0.780, 0.112, 0.662)
Sm (0.112, 0.445, 0.662)
Sm (0.666, 0.666, 0.001)
Sm (0.334, 0.334, 0.999)
Sm (0.888, 0.555, 0.338)
Sm (0.220, 0.888, 0.338)
Sm (0.445, 0.780, 0.662)
Er (0.000, 0.000, 0.000)
Ga (0.385, 0.056, 0.831)
Ga (0.944, 0.272, 0.169)
Ga (0.272, 0.615, 0.169)
Ga (0.728, 0.385, 0.831)
Ga (0.056, 0.728, 0.831)
Ga (0.615, 0.944, 0.169)

[3]
Material: ScPRu2
Method: DFT, PBE
State: optimized geometry

N(E_F) in states/eV/atom: 0.7777
SG: No. 8
ΔE_f in eV/atom: -0.48

a = 4.812 Å, b = 4.812 Å, c = 4.520 Å
α = 70.28°, β = 70.28°, γ = 37.52°
Element x y z (fractional)
Sc (0.484, 0.484, 0.465)
P (0.739, 0.739, 0.869)
Ru (0.025, 0.025, 0.911)
Ru (0.252, 0.252, 0.255)

Q: Look up the N(E_F) of the third one.
A: 0.7777 states/eV/atom

Q: Number 2 is which compound?
A: Sm8ErGa6